(1)
This record from Alexandria via LeMat-Bulk describes a relaxed structure of PrAu6. The functional is PBE.

Cell lengths 6.423, 6.423, 6.423 Å; angles 90.00, 90.00, 90.00 degrees
Positions (direct):
Pr 0.000 0.000 0.000
Au 0.196 0.500 0.500
Au 0.500 0.196 0.500
Au 0.500 0.500 0.196
Au 0.500 0.500 0.804
Au 0.500 0.804 0.500
Au 0.804 0.500 0.500

**Distance to the lowest polymorph of the same formula**: 8.007 eV per formula unit
**N(E_F)**: 8.721 states/eV/f.u.
**Formation energy from the elements**: 0.7315 eV/atom
**Mass density**: 8291 kg/m³

=====

(2)
This record from Alexandria via LeMat-Bulk describes a relaxed structure of MgAl4Ag. The functional is PBE.

Cell lengths 2.887, 4.105, 8.938 Å; angles 90.00, 90.00, 90.00 degrees
Positions (direct):
Mg 0.000 0.000 0.000
Al 0.000 0.000 0.338
Al 0.000 0.000 0.662
Al 0.500 0.500 0.177
Al 0.500 0.500 0.823
Ag 0.500 0.500 0.500

**Distance to the lowest polymorph of the same formula**: 0.142 eV per formula unit
**N(E_F)**: 2.234 states/eV/f.u.
**Formation energy from the elements**: 0.0206 eV/atom
**Mass density**: 3764 kg/m³

=====

(3)
This record from Alexandria via LeMat-Bulk describes a relaxed structure of VFeC2. The functional is PBE.

Cell lengths 3.778, 3.778, 3.778 Å; angles 137.09, 92.65, 102.78 degrees
Positions (direct):
V 0.000 0.000 0.000
Fe 0.494 0.994 0.500
C 0.090 0.333 0.757
C 0.576 0.333 0.243

**N(E_F)**: 2.589 states/eV/f.u.
**Formation energy from the elements**: 0.0788 eV/atom
**Mass density**: 6388 kg/m³

=====

(4)
This record from Alexandria via LeMat-Bulk describes a relaxed structure of InGeS2. The functional is PBE.

Cell lengths 8.989, 8.989, 8.989 Å; angles 22.43, 22.43, 22.43 degrees
Positions (direct):
In 0.000 0.000 0.000
Ge 0.500 0.500 0.500
S 0.113 0.113 0.113
S 0.887 0.887 0.887

**N(E_F)**: 1.338 states/eV/f.u.
**Energy relative to the elements, uncorrected**: -0.17 eV/atom
**Mass density**: 4507 kg/m³

=====

(5)
This record from Alexandria via LeMat-Bulk describes a relaxed structure of KBi4Au4. The functional is PBE.

Cell lengths 9.552, 9.552, 5.949 Å; angles 90.00, 90.00, 90.00 degrees
Positions (direct):
K 0.250 0.250 0.250
K 0.750 0.750 0.750
Bi 0.103 0.878 0.638
Bi 0.122 0.603 0.138
Bi 0.378 0.897 0.138
Bi 0.397 0.622 0.638
Bi 0.603 0.378 0.362
Bi 0.622 0.103 0.862
Bi 0.878 0.397 0.862
Bi 0.897 0.122 0.362
Au 0.048 0.892 0.145
Au 0.108 0.548 0.645
Au 0.392 0.952 0.645
Au 0.452 0.608 0.145
Au 0.548 0.392 0.855
Au 0.608 0.048 0.355
Au 0.892 0.452 0.355
Au 0.952 0.108 0.855

**Distance to the lowest polymorph of the same formula**: 0.267 eV per formula unit
**N(E_F)**: 5.449 states/eV/f.u.
**Formation energy from the elements**: -0.1241 eV/atom
**Mass density**: 10175 kg/m³

=====

(6)
This record from Alexandria via LeMat-Bulk describes a relaxed structure of LaPrPu4. The functional is PBE.

Cell lengths 6.251, 6.251, 6.251 Å; angles 60.00, 60.00, 60.00 degrees
Positions (direct):
La 0.000 0.000 0.000
Pr 0.250 0.250 0.250
Pu 0.125 0.625 0.625
Pu 0.625 0.125 0.625
Pu 0.625 0.625 0.125
Pu 0.625 0.625 0.625

**N(E_F)**: 28.333 states/eV/f.u.
**Formation energy from the elements**: 0.2431 eV/atom
**Mass density**: 12076 kg/m³

=====

Repeat the fifth record exactly.
This record from Alexandria via LeMat-Bulk describes a relaxed structure of KBi4Au4. The functional is PBE.

Cell lengths 9.552, 9.552, 5.949 Å; angles 90.00, 90.00, 90.00 degrees
Positions (direct):
K 0.250 0.250 0.250
K 0.750 0.750 0.750
Bi 0.103 0.878 0.638
Bi 0.122 0.603 0.138
Bi 0.378 0.897 0.138
Bi 0.397 0.622 0.638
Bi 0.603 0.378 0.362
Bi 0.622 0.103 0.862
Bi 0.878 0.397 0.862
Bi 0.897 0.122 0.362
Au 0.048 0.892 0.145
Au 0.108 0.548 0.645
Au 0.392 0.952 0.645
Au 0.452 0.608 0.145
Au 0.548 0.392 0.855
Au 0.608 0.048 0.355
Au 0.892 0.452 0.355
Au 0.952 0.108 0.855

**Distance to the lowest polymorph of the same formula**: 0.267 eV per formula unit
**N(E_F)**: 5.449 states/eV/f.u.
**Formation energy from the elements**: -0.1241 eV/atom
**Mass density**: 10175 kg/m³

=====

Among the records above, which one has the highest N(E_F)?
LaPrPu4